# 1
The following is a GGA-PBE calculation of a geometry-optimized Dy4Tm6Sc structure, from Alexandria.

Lattice parameters (Å, degrees): 5.5180 5.5021 25.3180 90.00 90.00 120.10
Last column: nearest neighbours and their distance in Å.
Element x y z (fractional)
Dy 0.8347 0.6694 0.5433  7 Tm 3.36-3.58, 1 Dy 3.72
Dy 0.4958 0.9916 0.1219  5 Tm 3.09-3.24
Dy 0.1653 0.3306 0.4567  7 Tm 3.36-3.58, 1 Dy 3.72
Dy 0.5042 0.0084 0.8781  5 Tm 3.09-3.24
Dy 0.8347 0.6694 0.9567  7 Tm 3.36-3.58, 1 Dy 3.72
Dy 0.1653 0.3306 0.0433  7 Tm 3.36-3.58, 1 Dy 3.72
Dy 0.5042 0.0084 0.6219  5 Tm 3.09-3.24
Dy 0.4958 0.9916 0.3781  5 Tm 3.09-3.24
Tm 0.5000 0.0000 0.0000  8 Dy 3.09-3.37
Tm 0.5000 0.0000 0.5000  8 Dy 3.09-3.37
Tm 0.1629 0.3258 0.3170  7 Tm 3.39-3.72, 4 Dy 3.53-3.54, 3 Sc 3.60-3.61
Tm 0.8371 0.6742 0.6830  7 Tm 3.39-3.72, 4 Dy 3.53-3.54, 3 Sc 3.60-3.61
Tm 0.8371 0.6742 0.8170  7 Tm 3.39-3.72, 4 Dy 3.53-3.54, 3 Sc 3.60-3.61
Tm 0.1629 0.3258 0.1830  7 Tm 3.39-3.72, 4 Dy 3.53-3.54, 3 Sc 3.60-3.61
Tm 0.8299 0.6597 0.3928  6 Dy 3.20-3.58
Tm 0.1701 0.3403 0.6072  6 Dy 3.20-3.58
Tm 0.1701 0.3403 0.8928  6 Dy 3.20-3.58
Tm 0.8299 0.6597 0.1072  6 Dy 3.20-3.58
Tm 0.4962 0.9925 0.2500  3 Sc 3.18, 2 Dy 3.24
Tm 0.5038 0.0075 0.7500  3 Sc 3.18, 2 Dy 3.24
Sc 0.8297 0.6595 0.2500  3 Tm 3.18
Sc 0.1703 0.3405 0.7500  3 Tm 3.18

Output
total magnetic moment: 0.0000 μB/atom
calculated formation energy: 0.14 eV per atom
energy relative to the lowest polymorph listed for this composition: 0 meV/atom



# 2
The following is a GGA-PBE calculation of a geometry-optimized In2BiPtO8 structure, from Alexandria.

Lattice parameters (Å, degrees): 4.9272 4.8999 6.6192 90.00 90.00 92.06
Last column: nearest neighbours and their distance in Å.
Element x y z (fractional)
In 0.5000 0.5000 0.7557  6 O 2.14-2.23
In 0.5000 0.5000 0.2443  6 O 2.14-2.23
Bi 0.0000 0.0000 0.5000  6 O 2.11-2.20
Pt 0.0000 0.0000 0.0000  6 O 1.98-2.02
O 0.1814 0.8127 0.2322  1 Pt 2.02, 1 Bi 2.20, 1 In 2.23
O 0.7071 0.7121 0.0000  1 Pt 1.98, 2 In 2.16
O 0.8186 0.1873 0.2322  1 Pt 2.02, 1 Bi 2.20, 1 In 2.23
O 0.8186 0.1873 0.7678  1 Pt 2.02, 1 Bi 2.20, 1 In 2.23
O 0.2929 0.2879 0.0000  1 Pt 1.98, 2 In 2.16
O 0.1814 0.8127 0.7678  1 Pt 2.02, 1 Bi 2.20, 1 In 2.23
O 0.6885 0.6933 0.5000  1 Bi 2.11, 2 In 2.14
O 0.3115 0.3067 0.5000  1 Bi 2.11, 2 In 2.14

Output
total magnetic moment: 0.0640 μB/atom
energy relative to the elements, uncorrected: -0.979 eV per atom



# 3
The following is a GGA-PBE calculation of a geometry-optimized CuMoC3 structure, from Alexandria.

Lattice parameters (Å, degrees): 3.7383 3.7383 3.7383 90.00 90.00 90.00
Last column: nearest neighbours and their distance in Å.
Element x y z (fractional)
Mo 0.5000 0.5000 0.5000  12 C 2.64
C 0.0000 0.5000 0.0000  2 Cu 1.87
C 0.0000 0.0000 0.5000  2 Cu 1.87
C 0.5000 0.0000 0.0000  2 Cu 1.87
Cu 0.0000 0.0000 0.0000  6 C 1.87

Output
total magnetic moment: 0.2520 μB/atom
calculated formation energy: 2.58 eV per atom
energy relative to the lowest polymorph listed for this composition: 472 meV/atom